VASP calculation (PBE-GGA) on a relaxed structure of Pm2NdIn.

```
Pm2NdIn
1.0
-0.753 0.454 3.550
1.959 -2.984 0.797
7.788 5.369 0.966
Pm In Nd
2 1 1
Direct
0.000 0.000 0.223
0.000 0.000 0.777
0.500 0.500 0.000
0.500 0.500 0.500
```

Calculated values
The energy of formation from the pure elements comes out at -0.228 eV/atom. The electronic total energy comes out at -4.48 eV per atom. The space-group type is P4/mmm.

VASP calculation (PBE-GGA) on a relaxed structure of PmNd2In2.

```
PmNd2In2
1.0
4.495 0.000 -0.601
0.000 5.028 0.000
-0.509 0.000 13.241
Pm Nd In
2 4 4
Direct
0.857 0.750 0.713
0.143 0.250 0.287
0.762 0.250 0.522
0.951 0.250 0.902
0.049 0.750 0.098
0.238 0.750 0.478
0.453 0.750 0.906
0.648 0.750 0.298
0.352 0.250 0.702
0.547 0.250 0.094
```

Calculated values
The energy of formation from the pure elements comes out at -0.390 eV/atom. The electronic total energy comes out at -4.34 eV per atom. The space-group type is P2_1/m.

VASP calculation (PBE-GGA) on a relaxed structure of Pm2Nd8In.

```
Pm2Nd8In
1.0
-4.474 -1.132 2.155
3.893 -3.070 6.471
0.903 9.521 0.857
In Nd Pm
1 8 2
Direct
0.500 0.000 0.000
0.322 0.092 0.644
0.678 0.908 0.356
0.044 0.729 0.088
0.136 0.177 0.272
0.864 0.823 0.728
0.956 0.271 0.912
0.589 0.441 0.179
0.411 0.559 0.821
0.776 0.366 0.552
0.224 0.634 0.448
```

Calculated values
The energy of formation from the pure elements comes out at -0.066 eV/atom. The electronic total energy comes out at -4.65 eV per atom. The space-group type is C2/m.

VASP calculation (PBE-GGA) on a relaxed structure of Pm2Nd3In7.

```
Pm2Nd3In7
1.0
-4.120 3.318 -1.574
-3.412 -3.958 0.587
-0.156 5.367 11.723
In Nd Pm
7 3 2
Direct
0.000 0.428 0.856
0.000 0.572 0.144
0.000 0.274 0.548
0.000 0.726 0.452
0.000 0.000 0.000
0.500 0.922 0.845
0.500 0.078 0.155
0.500 0.500 0.000
0.500 0.657 0.313
0.500 0.343 0.687
0.000 0.144 0.288
0.000 0.856 0.712
```

Calculated values
The energy of formation from the pure elements comes out at -0.248 eV/atom. The electronic total energy comes out at -3.83 eV per atom. The space-group type is Cmmm.

VASP calculation (PBE-GGA) on a relaxed structure of PmNdIn.

```
PmNdIn
1.0
-5.275 0.002 0.699
-2.860 -4.288 -1.320
-2.181 -3.017 3.802
Pm Nd In
1 1 1
Direct
0.500 0.500 0.500
0.000 0.000 0.000
0.250 0.250 0.250
```

Calculated values
The energy of formation from the pure elements comes out at -0.106 eV/atom. The electronic total energy comes out at -4.19 eV per atom. The space-group type is F-43m.

VASP calculation (PBE-GGA) on a relaxed structure of PmNd3In4.

```
PmNd3In4
1.0
3.623 0.000 0.000
0.000 7.216 -0.852
-1.811 -2.489 9.898
In Pm Nd
4 1 3
Direct
0.627 0.418 0.253
0.373 0.165 0.747
0.627 0.835 0.253
0.373 0.582 0.747
0.500 0.000 0.000
0.217 0.217 0.435
0.000 0.500 0.000
0.783 0.783 0.565
```

Calculated values
The energy of formation from the pure elements comes out at -0.319 eV/atom. The electronic total energy comes out at -4.07 eV per atom. The space-group type is Immm.